[1]
Material: UMnZnTc
Method: DFT, PBE-GGA
State: relaxed

Calculated values
Formation enthalpy at 0 K   2.23 kcal/mol of atoms

Cell lengths 6.352, 6.352, 6.352 Å; angles 90.00, 90.00, 90.00 degrees
Sites, in units of the cell vectors:
U 0.000 0.000 0.000
U 0.000 0.500 0.500
U 0.500 0.000 0.500
U 0.500 0.500 0.000
Mn 0.250 0.250 0.750
Mn 0.250 0.750 0.250
Mn 0.750 0.250 0.250
Mn 0.750 0.750 0.750
Zn 0.000 0.000 0.500
Zn 0.000 0.500 0.000
Zn 0.500 0.000 0.000
Zn 0.500 0.500 0.500
Tc 0.250 0.250 0.250
Tc 0.250 0.750 0.750
Tc 0.750 0.250 0.750
Tc 0.750 0.750 0.250

=====

[2]
Material: PtN4Cl2O
Method: DFT, PBE-GGA
State: relaxed

Calculated values
Uncorrected formation energy   2.414 eV/atom

Cell lengths 5.944, 5.944, 3.007 Å; angles 90.00, 90.00, 90.00 degrees
Sites, in units of the cell vectors:
Pt 0.000 0.000 0.000
N 0.231 0.231 0.000
N 0.231 0.769 0.000
N 0.769 0.231 0.000
N 0.769 0.769 0.000
Cl 0.000 0.500 0.500
Cl 0.500 0.000 0.500
O 0.500 0.500 0.500

=====

Number 1: calculated total energy -7.93 eV/atom, magnetic moment 0.30 μB/atom. Number 2: calculated total energy -3.59 eV/atom, magnetic moment 0.62 μB/atom.